Entry 1:
Here is Ag2PbC after structural relaxation from the Alexandria database. Energies are from GGA-PBE.

## Properties
N(E_F)   1.9 states/eV/f.u.
Total moment   0.00 μB/cell
VASP energy   -0.2379 Ry per atom

Lattice parameters (Å, degrees): 6.668 6.668 6.668 90.00 90.00 90.00
Space group Fm-3m (No. 225)
Inequivalent atoms, fractional coordinates:
Ag 0.250 0.250 0.250 (multiplicity 8)
Pb 0.000 0.000 0.000 (multiplicity 4)
C 0.000 0.000 0.500 (multiplicity 4)


Entry 2:
Here is Ag3PbC after structural relaxation from the Alexandria database. Energies are from GGA-PBE.

## Properties
N(E_F)   4.0 states/eV/f.u.
Total moment   1.49 μB/cell
VASP energy   -0.1679 Ry per atom

Lattice parameters (Å, degrees): 5.404 5.404 5.404 90.00 90.00 90.00
Space group Pm-3m (No. 221)
Inequivalent atoms, fractional coordinates:
Ag 0.000 0.000 0.500 (multiplicity 3)
Pb 0.000 0.000 0.000 (multiplicity 1)
C 0.500 0.500 0.500 (multiplicity 1)


Entry 3:
Here is Ag3PbC after structural relaxation from the Alexandria database. Energies are from GGA-PBE.

## Properties
N(E_F)   2.4 states/eV/f.u.
Total moment   0.00 μB/cell
VASP energy   -0.2606 Ry per atom

Lattice parameters (Å, degrees): 4.525 4.525 4.525 90.00 90.00 90.00
Space group Pm-3m (No. 221)
Inequivalent atoms, fractional coordinates:
Ag 0.000 0.000 0.500 (multiplicity 3)
Pb 0.500 0.500 0.500 (multiplicity 1)
C 0.000 0.000 0.000 (multiplicity 1)


Entry 4:
Here is Ag2PbC after structural relaxation from the Alexandria database. Energies are from GGA-PBE.

## Properties
N(E_F)   0.2 states/eV/f.u.
Total moment   0.00 μB/cell
VASP energy   -0.2627 Ry per atom

Lattice parameters (Å, degrees): 5.288 5.288 12.692 90.00 90.00 90.00
Space group I-42d (No. 122)
Inequivalent atoms, fractional coordinates:
Ag 0.085 0.250 0.125 (multiplicity 8)
Pb 0.000 0.000 0.500 (multiplicity 4)
C 0.000 0.000 0.000 (multiplicity 4)


Entry 5:
Here is AgPb2C after structural relaxation from the Alexandria database. Energies are from GGA-PBE.

## Properties
N(E_F)   1.3 states/eV/f.u.
Total moment   0.00 μB/cell
VASP energy   -0.2862 Ry per atom

Lattice parameters (Å, degrees): 6.420 6.420 10.003 90.00 90.00 90.00
Space group I-42d (No. 122)
Inequivalent atoms, fractional coordinates:
Ag 0.000 0.000 0.000 (multiplicity 4)
Pb 0.183 0.250 0.625 (multiplicity 8)
C 0.000 0.000 0.500 (multiplicity 4)


Entry 6:
Here is AgRuPbC2 after structural relaxation from the Alexandria database. Energies are from GGA-PBE.

## Properties
N(E_F)   5.1 states/eV/f.u.
Total moment   1.74 μB/cell
VASP energy   -0.2770 Ry per atom

Lattice parameters (Å, degrees): 4.419 4.419 5.269 90.00 90.00 90.00
Space group P4/mmm (No. 123)
Inequivalent atoms, fractional coordinates:
Ag 0.000 0.000 0.000 (multiplicity 1)
Ru 0.500 0.500 0.000 (multiplicity 1)
Pb 0.000 0.000 0.500 (multiplicity 1)
C 0.000 0.500 0.500 (multiplicity 2)